Compound: CoBiN2F
Source: Alexandria via LeMat-Bulk
Functional: GGA-PBEsol
Structure: optimized geometry

```
5
Lattice="-3.250 -1.148 -2.483 -2.262 -1.063 3.452 -1.554 3.964 0.202" Properties=species:S:1:pos:R:3 pbc="T T T"
N -0.777 1.982 0.101
N -1.131 -0.531 1.726
Co -3.533 0.876 0.585
Bi 0.000 0.000 0.000
F -1.625 -0.574 -1.242
```

Properties
Space group = P4/mmm (123)
Energy relative to the elements, uncorrected = 1.24 eV per atom

Compound: La2TeCl
Source: Alexandria via LeMat-Bulk
Functional: GGA-PBEsol
Structure: optimized geometry

```
4
Lattice="-5.100 0.987 1.375 -3.073 -3.957 1.942 -1.434 0.006 5.179" Properties=species:S:1:pos:R:3 pbc="T T T"
Cl -4.803 -1.482 4.247
Te -2.402 -0.741 2.124
La 0.000 0.000 0.000
La -7.205 -2.222 6.371
```

Properties
Space group = F-43m (216)
Energy relative to the elements, uncorrected = -0.67 eV per atom

Compound: K2BeIF
Source: Alexandria via LeMat-Bulk
Functional: GGA-PBEsol
Structure: optimized geometry

```
5
Lattice="-4.409 -0.153 1.944 -0.782 -5.563 -2.212 2.313 -2.338 5.063" Properties=species:S:1:pos:R:3 pbc="T T T"
I -2.205 -0.076 0.972
Be 0.000 0.000 0.000
K 1.156 -1.169 2.532
K -0.391 -2.782 -1.106
F -1.439 -4.027 2.398
```

Properties
Space group = P4/mmm (123)
Energy relative to the elements, uncorrected = -0.45 eV per atom

Compound: Fe2TcP
Source: Alexandria via LeMat-Bulk
Functional: GGA-PBEsol
Structure: optimized geometry

```
4
Lattice="-0.544 -0.568 -2.773 0.995 -2.682 0.354 -5.097 -1.713 1.351" Properties=species:S:1:pos:R:3 pbc="T T T"
Fe -0.121 -0.041 0.032
Fe -1.092 -2.068 -0.860
P -2.462 -0.827 0.653
Tc -3.519 -2.883 -0.217
```

Properties
Formation energy from the elements = -0.76 eV per formula unit
Space group = P4mm (99)